No. 1
{
  "formula": "MnNbNi",
  "functional": "PBE",
  "state": "optimized geometry",
  "lattice_angstrom": [[-1.586, 1.586, 4.196], [1.586, -1.586, 4.196], [1.586, 1.586, -4.196]],
  "species": ["Mn", "Nb", "Ni"],
  "frac_coords": [[0.000, 0.000, 0.000], [0.670, 0.670, 0.000], [0.339, 0.339, 0.000]],
  "formation_energy_ev_per_atom": -0.02,
  "n_ef_per_ev_cell": 2.7,
  "vol_a3_per_atom": 14.1
}


No. 2
{
  "formula": "InCo4As",
  "functional": "PBE",
  "state": "optimized geometry",
  "lattice_angstrom": [[0.000, 3.463, 3.463], [3.463, 0.000, 3.463], [3.463, 3.463, 0.000]],
  "species": ["In", "Co", "Co", "Co", "Co", "As"],
  "frac_coords": [[0.000, 0.000, 0.000], [0.375, 0.375, 0.375], [0.375, 0.375, 0.874], [0.375, 0.874, 0.375], [0.874, 0.375, 0.375], [0.750, 0.750, 0.750]],
  "formation_energy_ev_per_atom": 0.25,
  "n_ef_per_ev_cell": 8.2,
  "vol_a3_per_atom": 13.8
}


| no. | magnetization (μB/cell) |
| --- | --- |
| 1 | 2.61 |
| 2 | 6.10 |